1.
Entry from the Alexandria database: a geometry-optimized BiTeCl2 structure (PBE).

CIF file:
```
data_BiTeCl2
_symmetry_space_group_name_H-M 'I -4 2 d'
_symmetry_Int_Tables_number 122
_symmetry_space_group_name_Hall 'I -4 2bw'
_cell_length_a 9.362
_cell_length_b 9.362
_cell_length_c 6.170
_cell_angle_alpha 90.00
_cell_angle_beta 90.00
_cell_angle_gamma 90.00
loop_
_atom_site_label
_atom_site_type_symbol
_atom_site_fract_x
_atom_site_fract_y
_atom_site_fract_z
_atom_site_occupancy
Bi1 Bi 0.000 0.000 0.000 1
Te1 Te 0.000 0.000 0.500 1
Cl1 Cl 0.140 0.250 0.125 1
```

For the polymorph energy (0 for the lowest one), the calculation gives 0.205 eV per atom. As for the total energy: -2.946 eV/atom.

2.
Entry from the Alexandria database: a geometry-optimized BiTeCl structure (PBE).

CIF file:
```
data_BiTeCl
_symmetry_space_group_name_H-M 'P 63 m c'
_symmetry_Int_Tables_number 186
_symmetry_space_group_name_Hall 'P 6c -2c'
_cell_length_a 4.3036
_cell_length_b 4.3036
_cell_length_c 13.8959
_cell_angle_alpha 90.00
_cell_angle_beta 90.00
_cell_angle_gamma 120.00
loop_
_atom_site_label
_atom_site_type_symbol
_atom_site_fract_x
_atom_site_fract_y
_atom_site_fract_z
_atom_site_occupancy
Bi1 Bi 0.3333 0.6667 0.0000 1
Te1 Te 0.3333 0.6667 0.6268 1
Cl1 Cl 0.0000 0.0000 0.3812 1
```

As for the total energy: -3.557 eV/atom.

3.
Entry from the Alexandria database: a geometry-optimized BiTeCl structure (PBE).

CIF file:
```
data_BiTeCl
_symmetry_space_group_name_H-M 'P 1'
_symmetry_Int_Tables_number 1
_cell_length_a 5.904
_cell_length_b 6.359
_cell_length_c 6.627
_cell_angle_alpha 101.62
_cell_angle_beta 92.37
_cell_angle_gamma 115.53
loop_
_symmetry_equiv_pos_as_xyz
'x,y,z'
loop_
_atom_site_label
_atom_site_type_symbol
_atom_site_fract_x
_atom_site_fract_y
_atom_site_fract_z
_atom_site_occupancy
Bi1 Bi 0.000 0.000 0.000 1
Bi2 Bi 0.311 0.542 0.216 1
Te1 Te 0.570 0.213 0.063 1
Te2 Te 0.933 0.360 0.785 1
Cl1 Cl 0.077 0.833 0.361 1
Cl2 Cl 0.440 0.571 0.620 1
```

As for the total energy: -3.294 eV/atom.

4.
Entry from the Alexandria database: a geometry-optimized ZrBiTe2Cl structure (PBE).

CIF file:
```
data_ZrBiTe2Cl
_symmetry_space_group_name_H-M 'P 4/m m m'
_symmetry_Int_Tables_number 123
_symmetry_space_group_name_Hall '-P 4 2'
_cell_length_a 5.740
_cell_length_b 5.740
_cell_length_c 4.673
_cell_angle_alpha 90.00
_cell_angle_beta 90.00
_cell_angle_gamma 90.00
loop_
_atom_site_label
_atom_site_type_symbol
_atom_site_fract_x
_atom_site_fract_y
_atom_site_fract_z
_atom_site_occupancy
Zr1 Zr 0.000 0.000 0.000 1
Bi1 Bi 0.500 0.500 0.000 1
Te1 Te 0.000 0.500 0.500 1
Cl1 Cl 0.000 0.000 0.500 1
```

As for the total energy: -3.663 eV/atom.

5.
Entry from the Alexandria database: a geometry-optimized ThBiCl structure (PBE).

CIF file:
```
data_ThBiCl
_symmetry_space_group_name_H-M 'P -6 m 2'
_symmetry_Int_Tables_number 187
_symmetry_space_group_name_Hall 'P -6 2'
_cell_length_a 4.8486
_cell_length_b 4.8486
_cell_length_c 4.2430
_cell_angle_alpha 90.00
_cell_angle_beta 90.00
_cell_angle_gamma 120.00
loop_
_atom_site_label
_atom_site_type_symbol
_atom_site_fract_x
_atom_site_fract_y
_atom_site_fract_z
_atom_site_occupancy
Th1 Th 0.0000 0.0000 0.0000 1
Bi1 Bi 0.6667 0.3333 0.5000 1
Cl1 Cl 0.3333 0.6667 0.0000 1
```

For the polymorph energy (0 for the lowest one), the calculation gives 0.000 eV per atom. As for the total energy: -5.455 eV/atom.

6.
Entry from the Alexandria database: a geometry-optimized ThBiCl structure (PBE).

CIF file:
```
data_ThBiCl
_symmetry_space_group_name_H-M 'P -1'
_symmetry_Int_Tables_number 2
_cell_length_a 5.258
_cell_length_b 6.229
_cell_length_c 6.413
_cell_angle_alpha 101.54
_cell_angle_beta 90.39
_cell_angle_gamma 114.94
loop_
_symmetry_equiv_pos_as_xyz
'x,y,z'
'-x,-y,-z'
loop_
_atom_site_label
_atom_site_type_symbol
_atom_site_fract_x
_atom_site_fract_y
_atom_site_fract_z
_atom_site_occupancy
Th1 Th 0.186 0.376 0.276 1
Bi1 Bi 0.121 0.236 0.769 1
Cl1 Cl 0.395 0.787 0.644 1
```

For the polymorph energy (0 for the lowest one), the calculation gives 0.073 eV per atom. As for the total energy: -5.382 eV/atom.

7.
Entry from the Alexandria database: a geometry-optimized Ti3BiCl structure (PBE).

CIF file:
```
data_Ti3BiCl
_symmetry_space_group_name_H-M 'P m -3 m'
_symmetry_Int_Tables_number 221
_symmetry_space_group_name_Hall '-P 4 2 3'
_cell_length_a 4.560
_cell_length_b 4.560
_cell_length_c 4.560
_cell_angle_alpha 90.00
_cell_angle_beta 90.00
_cell_angle_gamma 90.00
loop_
_atom_site_label
_atom_site_type_symbol
_atom_site_fract_x
_atom_site_fract_y
_atom_site_fract_z
_atom_site_occupancy
Ti1 Ti 0.000 0.000 0.500 1
Bi1 Bi 0.500 0.500 0.500 1
Cl1 Cl 0.000 0.000 0.000 1
```

For the polymorph energy (0 for the lowest one), the calculation gives 0.000 eV per atom. As for the total energy: -5.892 eV/atom.

8.
Entry from the Alexandria database: a geometry-optimized TiBi2Cl structure (PBE).

CIF file:
```
data_TiBi2Cl
_symmetry_space_group_name_H-M 'F m -3 m'
_symmetry_Int_Tables_number 225
_symmetry_space_group_name_Hall '-F 4 2 3'
_cell_length_a 7.383
_cell_length_b 7.383
_cell_length_c 7.383
_cell_angle_alpha 90.00
_cell_angle_beta 90.00
_cell_angle_gamma 90.00
loop_
_atom_site_label
_atom_site_type_symbol
_atom_site_fract_x
_atom_site_fract_y
_atom_site_fract_z
_atom_site_occupancy
Ti1 Ti 0.000 0.000 0.000 1
Bi1 Bi 0.250 0.250 0.250 1
Cl1 Cl 0.000 0.000 0.500 1
```

For the polymorph energy (0 for the lowest one), the calculation gives 0.056 eV per atom. As for the total energy: -4.197 eV/atom.

9.
Entry from the Alexandria database: a geometry-optimized Ti2BiCl8 structure (PBE).

CIF file:
```
data_Ti2BiCl8
_symmetry_space_group_name_H-M 'C 1 2/m 1'
_symmetry_Int_Tables_number 12
_cell_length_a 13.689
_cell_length_b 7.572
_cell_length_c 7.906
_cell_angle_alpha 90.00
_cell_angle_beta 91.99
_cell_angle_gamma 90.00
loop_
_symmetry_equiv_pos_as_xyz
'x,y,z'
'-x,-y,-z'
'-x,y,-z'
'x,-y,z'
'x+1/2,y+1/2,z'
'-x+1/2,-y+1/2,-z'
'-x+1/2,y+1/2,-z'
'x+1/2,-y+1/2,z'
loop_
_atom_site_label
_atom_site_type_symbol
_atom_site_fract_x
_atom_site_fract_y
_atom_site_fract_z
_atom_site_occupancy
Ti1 Ti 0.167 0.000 0.293 1
Bi1 Bi 0.000 0.000 0.000 1
Cl1 Cl 0.059 0.234 0.257 1
Cl2 Cl 0.201 0.000 0.570 1
Cl3 Cl 0.203 0.500 0.866 1
```

As for the total energy: -4.375 eV/atom.

10.
Entry from the Alexandria database: a geometry-optimized Ti3BiCl structure (PBE).

CIF file:
```
data_Ti3BiCl
_symmetry_space_group_name_H-M 'P m -3 m'
_symmetry_Int_Tables_number 221
_symmetry_space_group_name_Hall '-P 4 2 3'
_cell_length_a 5.412
_cell_length_b 5.412
_cell_length_c 5.412
_cell_angle_alpha 90.00
_cell_angle_beta 90.00
_cell_angle_gamma 90.00
loop_
_atom_site_label
_atom_site_type_symbol
_atom_site_fract_x
_atom_site_fract_y
_atom_site_fract_z
_atom_site_occupancy
Ti1 Ti 0.000 0.000 0.500 1
Bi1 Bi 0.000 0.000 0.000 1
Cl1 Cl 0.500 0.500 0.500 1
```

For the polymorph energy (0 for the lowest one), the calculation gives 1.002 eV per atom. As for the total energy: -4.889 eV/atom.

11.
Entry from the Alexandria database: a geometry-optimized Ti2Bi2Cl structure (PBE).

CIF file:
```
data_Ti2Bi2Cl
_symmetry_space_group_name_H-M 'P 4/m b m'
_symmetry_Int_Tables_number 127
_symmetry_space_group_name_Hall '-P 4 2ab'
_cell_length_a 7.740
_cell_length_b 7.740
_cell_length_c 3.782
_cell_angle_alpha 90.00
_cell_angle_beta 90.00
_cell_angle_gamma 90.00
loop_
_atom_site_label
_atom_site_type_symbol
_atom_site_fract_x
_atom_site_fract_y
_atom_site_fract_z
_atom_site_occupancy
Ti1 Ti 0.144 0.356 0.000 1
Bi1 Bi 0.149 0.649 0.500 1
Cl1 Cl 0.000 0.000 0.000 1
```

As for the total energy: -5.315 eV/atom.

12.
Entry from the Alexandria database: a geometry-optimized TiBiCl2 structure (PBE).

CIF file:
```
data_TiBiCl2
_symmetry_space_group_name_H-M 'I -4 2 d'
_symmetry_Int_Tables_number 122
_symmetry_space_group_name_Hall 'I -4 2bw'
_cell_length_a 8.116
_cell_length_b 8.116
_cell_length_c 5.957
_cell_angle_alpha 90.00
_cell_angle_beta 90.00
_cell_angle_gamma 90.00
loop_
_atom_site_label
_atom_site_type_symbol
_atom_site_fract_x
_atom_site_fract_y
_atom_site_fract_z
_atom_site_occupancy
Ti1 Ti 0.000 0.000 0.000 1
Bi1 Bi 0.000 0.000 0.500 1
Cl1 Cl 0.136 0.250 0.125 1
```

For the polymorph energy (0 for the lowest one), the calculation gives 0.378 eV per atom. As for the total energy: -4.395 eV/atom.